Record 1
A plane-wave DFT calculation with PBE was carried out for a relaxed Ba2LiZnP crystal.

abc: 6.2997 4.6719 6.2997
angles: 90.00 90.00 90.00
Atoms (fractional coordinates):
Ba1 0.5000 0.0000 0.0000
Ba2 0.0000 0.0000 0.5000
Zn1 0.0000 0.0000 0.0000
P1 0.0000 0.5000 0.0000
Li1 0.5000 0.5000 0.5000

Computed properties:
SG = No. 123
Crystal system = tetragonal
Formation energy = -0.23 eV/f.u.

***

Record 2
A plane-wave DFT calculation with PBE was carried out for a relaxed Ba2LiZnP2 crystal.

abc: 6.2790 6.3687 8.5666
angles: 111.82 111.50 90.00
Each line ends with the local moment (μB).
Atoms (fractional coordinates):
P1 0.6447 0.4063 0.8125  -0.01
P2 0.3553 0.5937 0.1875  -0.01
P3 0.8322 0.0937 0.1875  -0.01
P4 0.1678 0.9063 0.8125  -0.01
Zn1 0.5000 0.7500 0.0000  0.02
Zn2 0.5000 0.2500 0.0000  0.02
Ba1 0.9195 0.6662 0.3324  0.10
Ba2 0.4129 0.1662 0.3324  0.10
Ba3 0.0805 0.3338 0.6676  0.10
Ba4 0.5871 0.8338 0.6676  0.10
Li1 0.0000 0.2500 0.0000  0.00
Li2 0.0000 0.7500 0.0000  0.00

Computed properties:
SG = No. 72
Crystal system = orthorhombic
Formation energy = -4.38 eV/f.u.

***

Record 3
A plane-wave DFT calculation with PBE was carried out for a relaxed BaLiZnP2 crystal.

abc: 4.1935 4.1935 6.6546
angles: 108.37 108.37 90.00
Atoms (fractional coordinates):
Zn1 0.2500 0.7500 0.5000
Ba1 0.0000 0.0000 0.0000
Li1 0.7500 0.2500 0.5000
P1 0.3640 0.3640 0.7280
P2 0.6360 0.6360 0.2720

Computed properties:
SG = No. 119
Crystal system = tetragonal
Formation energy = -3.39 eV/f.u.